(1)
The following is a DFT calculation (GGA-PBEsol) of a geometry-optimized BaB4O7 structure.

Cell: 8.3044 10.5741 12.9992 Å, 104.55 90.00 90.00°
Closest atoms and distances in Å follow each position.
Fractional positions:
Ba 0.3860 0.8923 0.2955  8 O 2.70-3.00
Ba 0.8860 0.1077 0.2045  8 O 2.70-3.00
Ba 0.6140 0.1077 0.7045  8 O 2.70-3.00
Ba 0.1140 0.8923 0.7955  8 O 2.70-3.00
Ba 0.7650 0.5422 0.3950  6 O 2.64-2.88
Ba 0.2650 0.4578 0.1050  6 O 2.64-2.88
Ba 0.2350 0.4578 0.6050  6 O 2.64-2.88
Ba 0.7350 0.5422 0.8950  6 O 2.64-2.88
B 0.2831 0.9877 0.5504  3 O 1.36-1.40
B 0.9111 0.8623 0.4938  3 O 1.36-1.41
B 0.4111 0.1377 0.0062  3 O 1.36-1.41
B 0.0889 0.1377 0.5062  3 O 1.36-1.41
B 0.5889 0.8623 0.9938  3 O 1.36-1.41
B 0.1769 0.6016 0.3918  3 O 1.37-1.39
B 0.6769 0.3984 0.1082  3 O 1.37-1.39
B 0.8231 0.3984 0.6082  3 O 1.37-1.39
B 0.3231 0.6016 0.8918  3 O 1.37-1.39
B 0.7831 0.0123 0.9496  3 O 1.36-1.40
B 0.7169 0.0123 0.4496  3 O 1.36-1.40
B 0.2169 0.9877 0.0504  3 O 1.36-1.40
B 0.6951 0.8196 0.8059  4 O 1.45-1.51
B 0.1951 0.1804 0.6941  4 O 1.45-1.51
B 0.3049 0.1804 0.1941  4 O 1.45-1.51
B 0.8049 0.8196 0.3059  4 O 1.45-1.51
B 0.3676 0.7520 0.5141  4 O 1.45-1.51
B 0.8676 0.2480 0.9859  4 O 1.45-1.51
B 0.6324 0.2480 0.4859  4 O 1.45-1.51
B 0.1324 0.7520 0.0141  4 O 1.45-1.51
B 0.6219 0.7236 0.6179  3 O 1.37-1.38
B 0.1219 0.2764 0.8821  3 O 1.37-1.38
B 0.3781 0.2764 0.3821  3 O 1.37-1.38
B 0.8781 0.7236 0.1179  3 O 1.37-1.38
B 0.8671 0.6335 0.6886  4 O 1.45-1.52
B 0.3671 0.3665 0.8114  4 O 1.45-1.52
B 0.1329 0.3665 0.3114  4 O 1.45-1.52
B 0.6329 0.6335 0.1886  4 O 1.45-1.52
B 0.0880 0.7109 0.5735  4 O 1.46-1.49
B 0.5880 0.2891 0.9265  4 O 1.46-1.49
B 0.9120 0.2891 0.4265  4 O 1.46-1.49
B 0.4120 0.7109 0.0735  4 O 1.46-1.49
O 0.7529 0.6412 0.6047  2 B 1.38-1.46
O 0.1904 0.6813 0.9049  2 B 1.37-1.51
O 0.6904 0.3187 0.5951  2 B 1.37-1.51
O 0.8096 0.3187 0.0951  2 B 1.37-1.51
O 0.3096 0.6813 0.4049  2 B 1.37-1.51
O 0.5863 0.7947 0.8894  2 B 1.37-1.49
O 0.0863 0.2053 0.6106  2 B 1.37-1.49
O 0.4137 0.2053 0.1106  2 B 1.37-1.49
O 0.2576 0.7382 0.5971  2 B 1.45-1.46
O 0.7576 0.2618 0.9029  2 B 1.45-1.46
O 0.7424 0.2618 0.4029  2 B 1.45-1.46
O 0.2424 0.7382 0.0971  2 B 1.45-1.46
O 0.3913 0.8906 0.5112  2 B 1.36-1.49
O 0.8913 0.1094 0.9888  2 B 1.36-1.49
O 0.6087 0.1094 0.4888  2 B 1.36-1.49
O 0.1087 0.8906 0.0112  2 B 1.36-1.49
O 0.5248 0.6976 0.5300  2 B 1.37-1.46
O 0.0248 0.3024 0.9700  2 B 1.37-1.46
O 0.4752 0.3024 0.4700  2 B 1.37-1.46
O 0.9752 0.6976 0.0300  2 B 1.37-1.46
O 0.6006 0.8207 0.7098  2 B 1.38-1.48
O 0.1006 0.1793 0.7902  2 B 1.38-1.48
O 0.3994 0.1793 0.2902  2 B 1.38-1.48
O 0.8994 0.8207 0.2098  2 B 1.38-1.48
O 0.7725 0.9524 0.8433  2 B 1.37-1.51
O 0.2725 0.0476 0.6567  2 B 1.37-1.51
O 0.2275 0.0476 0.1567  2 B 1.37-1.51
O 0.7275 0.9524 0.3433  2 B 1.37-1.51
O 0.3541 0.5057 0.7994  2 B 1.39-1.52
O 0.8541 0.4943 0.7006  2 B 1.39-1.52
O 0.6459 0.4943 0.2006  2 B 1.39-1.52
O 0.1459 0.5057 0.2994  2 B 1.39-1.52
O 0.9137 0.7947 0.3894  2 B 1.37-1.49
O 0.2529 0.3588 0.8953  2 B 1.38-1.46
O 0.2471 0.3588 0.3953  2 B 1.38-1.46
O 0.7471 0.6412 0.1047  2 B 1.38-1.46
O 0.8060 0.9694 0.5254  2 B 1.40-1.41
O 0.3060 0.0306 0.9746  2 B 1.40-1.41
O 0.1940 0.0306 0.4746  2 B 1.40-1.41
O 0.6940 0.9694 0.0254  2 B 1.40-1.41
O 0.4689 0.6615 0.1625  2 B 1.45-1.46
O 0.4997 0.1667 0.9274  2 B 1.36-1.49
O 0.0003 0.1667 0.4274  2 B 1.36-1.49
O 0.5003 0.8333 0.0726  2 B 1.36-1.49
O 0.8227 0.7230 0.7893  2 B 1.45-1.46
O 0.3227 0.2770 0.7107  2 B 1.45-1.46
O 0.1773 0.2770 0.2107  2 B 1.45-1.46
O 0.6773 0.7230 0.2893  2 B 1.45-1.46
O 0.4316 0.6106 0.9735  2 B 1.38-1.47
O 0.9316 0.3894 0.5265  2 B 1.38-1.47
O 0.5684 0.3894 0.0265  2 B 1.38-1.47
O 0.0684 0.6106 0.4735  2 B 1.38-1.47
O 0.0311 0.6615 0.6625  2 B 1.45-1.46
O 0.5311 0.3385 0.8375  2 B 1.45-1.46
O 0.9689 0.3385 0.3375  2 B 1.45-1.46
O 0.9997 0.8333 0.5726  2 B 1.36-1.49

Values from the calculation:
Total DFT energy (no corrections): -8.23 eV/atom
Symmetry: P2_1/c, No. 14
ΔE_f (raw): -2.65 eV per atom
Volume: 11.509 A^3/atom
DOS(E_F): 0.0 states/eV per cell
Energy above the most stable polymorph in this dataset: 23 meV/atom
Spin magnetization: 0.000 Bohr magnetons per cell



(2)
The following is a DFT calculation (GGA-PBEsol) of a geometry-optimized BaB4O7 structure.

Cell: 4.3019 9.0193 11.0106 Å, 90.00 90.00 90.00°
Closest atoms and distances in Å follow each position.
Fractional positions:
Ba 0.7295 0.8533 0.7500  9 O 2.70-2.87
Ba 0.2705 0.1467 0.2500  9 O 2.70-2.87
Ba 0.2295 0.6467 0.2500  9 O 2.70-2.87
Ba 0.7705 0.3533 0.7500  9 O 2.70-2.87
B 0.7067 0.9104 0.1265  4 O 1.45-1.55
B 0.2933 0.0896 0.8735  4 O 1.45-1.55
B 0.7800 0.1582 0.4996  4 O 1.42-1.57
B 0.2200 0.8418 0.9996  4 O 1.42-1.57
B 0.7800 0.1582 0.0004  4 O 1.42-1.57
B 0.7933 0.4104 0.3735  4 O 1.45-1.55
B 0.7067 0.9104 0.3735  4 O 1.45-1.55
B 0.2067 0.5896 0.6265  4 O 1.45-1.55
B 0.7200 0.6582 0.0004  4 O 1.42-1.57
B 0.2800 0.3418 0.5004  4 O 1.42-1.57
B 0.7933 0.4104 0.1265  4 O 1.45-1.55
B 0.2800 0.3418 0.9996  4 O 1.42-1.57
B 0.7200 0.6582 0.4996  4 O 1.42-1.57
B 0.2067 0.5896 0.8735  4 O 1.45-1.55
B 0.2200 0.8418 0.5004  4 O 1.42-1.57
B 0.2933 0.0896 0.6265  4 O 1.45-1.55
O 0.3772 0.6956 0.5379  3 B 1.54-1.57
O 0.2961 0.4364 0.8952  2 B 1.43-1.45
O 0.7961 0.0636 0.3952  2 B 1.43-1.45
O 0.7039 0.5636 0.1048  2 B 1.43-1.45
O 0.3738 0.8906 0.3934  2 B 1.42-1.46
O 0.6262 0.1094 0.8934  2 B 1.42-1.46
O 0.1228 0.1956 0.9621  3 B 1.54-1.57
O 0.8738 0.6094 0.6066  2 B 1.42-1.46
O 0.3738 0.8906 0.1066  2 B 1.42-1.46
O 0.7039 0.5636 0.3952  2 B 1.43-1.45
O 0.2039 0.9364 0.8952  2 B 1.43-1.45
O 0.7881 0.8659 0.2500  2 B 1.46
O 0.2881 0.6341 0.7500  2 B 1.46
O 0.2039 0.9364 0.6048  2 B 1.43-1.45
O 0.2961 0.4364 0.6048  2 B 1.43-1.45
O 0.1262 0.3906 0.3934  2 B 1.42-1.46
O 0.6228 0.3044 0.0379  3 B 1.54-1.57
O 0.1228 0.1956 0.5379  3 B 1.54-1.57
O 0.6262 0.1094 0.6066  2 B 1.42-1.46
O 0.6228 0.3044 0.4621  3 B 1.54-1.57
O 0.8738 0.6094 0.8934  2 B 1.42-1.46
O 0.2119 0.1341 0.7500  2 B 1.46
O 0.7119 0.3659 0.2500  2 B 1.46
O 0.8772 0.8044 0.0379  3 B 1.54-1.57
O 0.8772 0.8044 0.4621  3 B 1.54-1.57
O 0.7961 0.0636 0.1048  2 B 1.43-1.45
O 0.1262 0.3906 0.1066  2 B 1.42-1.46
O 0.3772 0.6956 0.9621  3 B 1.54-1.57

Values from the calculation:
Total DFT energy (no corrections): -8.25 eV/atom
Symmetry: Pnma, No. 62
ΔE_f (raw): -2.67 eV per atom
Volume: 8.900 A^3/atom
DOS(E_F): 0.0 states/eV per cell
Energy above the most stable polymorph in this dataset: 0 meV/atom
Spin magnetization: 0.000 Bohr magnetons per cell



Look up the ΔE_f (raw) of the second one.
-2.67 eV per atom



Which value of DOS(E_F) does entry 1 give?
0.0 states/eV per cell



Which value of ΔE_f (raw) does entry 1 give?
-2.65 eV per atom



Among the records above, which one has the lowest energy above the most stable polymorph in this dataset?
number 2